[1]
DFT (PBEsol) results for a relaxed Cr2CdTc2 crystal.

Structure (POSCAR):
```
Cr2CdTc2
1.0
4.019 0.000 0.000
0.000 4.019 0.000
0.000 0.000 9.585
Cr Cd Tc
4 2 4
Direct
0.000 0.000 0.121
0.000 0.000 0.879
0.500 0.500 0.379
0.500 0.500 0.621
0.000 0.000 0.500
0.500 0.500 0.000
0.000 0.500 0.250
0.000 0.500 0.750
0.500 0.000 0.250
0.500 0.000 0.750
```

E_form ... 0.49 eV/atom

---

[2]
DFT (PBEsol) results for a relaxed ZrMo crystal.

Structure (POSCAR):
```
ZrMo
1.0
3.273 0.000 0.000
0.000 4.692 0.000
0.000 0.000 9.475
Zr Mo
4 4
Direct
0.000 0.250 0.116
0.000 0.750 0.884
0.500 0.250 0.384
0.500 0.750 0.616
0.000 0.250 0.643
0.000 0.750 0.357
0.500 0.250 0.857
0.500 0.750 0.143
```

E_form ... -0.03 eV/atom
Energy relative to the lowest polymorph listed for this composition ... 0.0 meV per atom

---

[3]
DFT (PBEsol) results for a relaxed RuCl3 crystal.

Structure (POSCAR):
```
RuCl3
1.0
5.866 0.000 0.000
0.000 10.191 0.000
-1.817 0.000 5.829
Ru Cl
4 12
Direct
0.000 0.167 0.000
0.000 0.833 0.000
0.500 0.333 0.000
0.500 0.667 0.000
0.223 0.000 0.228
0.244 0.327 0.228
0.244 0.673 0.228
0.256 0.173 0.772
0.256 0.827 0.772
0.277 0.500 0.772
0.723 0.500 0.228
0.744 0.173 0.228
0.744 0.827 0.228
0.756 0.327 0.772
0.756 0.673 0.772
0.777 0.000 0.772
```

E_form (uncorrected) ... -0.52 eV/atom

---

[4]
DFT (PBEsol) results for a relaxed Mn2AlTl crystal.

Structure (POSCAR):
```
Mn2AlTl
1.0
2.819 0.000 0.000
0.000 2.819 0.000
0.000 0.000 7.610
Mn Al Tl
2 1 1
Direct
0.000 0.000 0.000
0.500 0.500 0.159
0.500 0.500 0.796
0.000 0.000 0.438
```

E_form ... 0.25 eV/atom

---

[5]
DFT (PBEsol) results for a relaxed KLiTl2 crystal.

Structure (POSCAR):
```
KLiTl2
1.0
7.659 0.000 0.000
0.000 7.659 0.000
0.000 0.000 7.659
K Li Tl
4 4 8
Direct
0.000 0.000 0.000
0.000 0.500 0.500
0.500 0.000 0.500
0.500 0.500 0.000
0.000 0.000 0.500
0.000 0.500 0.000
0.500 0.000 0.000
0.500 0.500 0.500
0.250 0.250 0.250
0.250 0.250 0.750
0.250 0.750 0.250
0.250 0.750 0.750
0.750 0.250 0.250
0.750 0.250 0.750
0.750 0.750 0.250
0.750 0.750 0.750
```

E_form ... -0.01 eV/atom
Energy relative to the lowest polymorph listed for this composition ... 139.4 meV per atom

---

[6]
DFT (PBEsol) results for a relaxed RbTaSn2 crystal.

Structure (POSCAR):
```
RbTaSn2
1.0
7.351 0.000 0.000
0.000 7.351 0.000
0.000 0.000 7.351
Rb Ta Sn
4 4 8
Direct
0.000 0.000 0.000
0.000 0.500 0.500
0.500 0.000 0.500
0.500 0.500 0.000
0.000 0.000 0.500
0.000 0.500 0.000
0.500 0.000 0.000
0.500 0.500 0.500
0.250 0.250 0.250
0.250 0.250 0.750
0.250 0.750 0.250
0.250 0.750 0.750
0.750 0.250 0.250
0.750 0.250 0.750
0.750 0.750 0.250
0.750 0.750 0.750
```

E_form ... 0.76 eV/atom

---

[7]
DFT (PBEsol) results for a relaxed Li3VP2O8 crystal.

Structure (POSCAR):
```
Li3VP2O8
1.0
4.070 -2.687 0.000
4.070 2.687 0.000
-0.078 0.000 6.130
Li V P O
3 1 2 8
Direct
0.000 0.000 0.000
0.327 0.327 0.772
0.673 0.673 0.228
0.000 0.000 0.500
0.350 0.350 0.264
0.650 0.650 0.736
0.237 0.700 0.271
0.242 0.242 0.471
0.245 0.245 0.060
0.300 0.763 0.729
0.700 0.237 0.271
0.755 0.755 0.940
0.758 0.758 0.529
0.763 0.300 0.729
```

E_form (uncorrected) ... -2.33 eV/atom
Energy relative to the lowest polymorph listed for this composition ... 0.0 meV per atom

---

[8]
DFT (PBEsol) results for a relaxed LiMo5 crystal.

Structure (POSCAR):
```
LiMo5
1.0
4.825 0.000 0.000
-2.413 4.179 0.000
0.000 0.000 4.443
Li Mo
1 5
Direct
0.000 0.000 0.000
0.000 0.332 0.500
0.332 0.000 0.500
0.333 0.667 0.000
0.667 0.333 0.000
0.668 0.668 0.500
```

E_form ... 0.52 eV/atom